Version i
VASP calculation (PBE) on a relaxed structure of CaLa4.

abc: 9.508 6.091 7.192
angles: 90.00 100.67 90.00
Positions (direct):
Ca1 0.000 0.000 0.000
Ca2 0.000 0.500 0.500
La1 0.337 0.226 0.736
La2 0.337 0.274 0.236
La3 0.337 0.727 0.938
La4 0.337 0.773 0.438
La5 0.663 0.227 0.562
La6 0.663 0.273 0.062
La7 0.663 0.726 0.764
La8 0.663 0.774 0.264

---

Version ii
VASP calculation (PBE) on a relaxed structure of CaLa4.

abc: 9.074 9.074 9.074
angles: 149.31 149.31 43.95
Positions (direct):
Ca1 0.000 0.000 0.000
La1 0.250 0.750 0.500
La2 0.400 0.400 0.000
La3 0.600 0.600 0.000
La4 0.750 0.250 0.500

---

Least stable of them? version ii.